1.
Computed, not measured: La2ZrSe after structural relaxation at the PBE level of DFT.

Structure (POSCAR):
```
La2ZrSe
1.0
9.648 -0.010 -0.006
8.936 3.639 -0.006
8.936 1.745 3.194
La Zr Se
2 1 1
Direct
0.236 0.236 0.236
0.005 0.005 0.005
0.766 0.766 0.766
0.493 0.493 0.493
```

Values from the calculation:
Density in Mg/m³: 6.6
DOS(E_F) in states/eV per cell: 2.8
DFT total energy in eV/atom: -6.114
Magnetization in μB per formula unit: 0.00
Symmetry: R3m (160)

***

2.
Computed, not measured: LaZr2Se after structural relaxation at the PBE level of DFT.

Structure (POSCAR):
```
LaZr2Se
1.0
-3.262 0.049 -3.588
-2.361 -1.665 5.377
-1.683 3.038 1.522
Zr Se La
2 1 1
Direct
0.000 0.000 0.000
0.500 0.000 0.500
0.500 0.500 0.000
0.000 0.500 0.500
```

Values from the calculation:
Density in Mg/m³: 6.8
DOS(E_F) in states/eV per cell: 4.0
DFT total energy in eV/atom: -6.751
Magnetization in μB per formula unit: 0.00
Symmetry: C2/m (12)